# Cd2Cu3 PBEsol optimized geometry
data_Cd2Cu3
_chemical_formula_sum 'Cd16 Cu24'
_space_group_name_H-M_alt 'F d d 2'
_space_group_IT_number 43
_space_group_name_Hall 'F 2 -2d'
_cell_length_a 8.9540
_cell_length_b 12.9439
_cell_length_c 5.0719
_cell_angle_alpha 90.00
_cell_angle_beta 90.00
_cell_angle_gamma 90.00
loop_
_atom_site_label
_atom_site_fract_x
_atom_site_fract_y
_atom_site_fract_z
_atom_site_occupancy
Cd1 0.0576 0.3028 0.0000 1
Cu1 0.0000 0.0000 0.3591 1
Cu2 0.0611 0.3900 0.4839 1
# DFT total energy: -3.022 eV/atom
# DOS at the Fermi energy: 11.4 states/eV per cell
# total magnetization: 0.00 μB/cell
# DFT formation energy: 0.057 eV/atom